No. 1
This record from Alexandria via LeMat-Bulk describes a geometry-optimized HoAl2SiNi4 structure. The functional is GGA-PBE.

Unit cell a=4.0142 b=4.0142 c=24.4658 alpha=90.00 beta=90.00 gamma=120.00
With the nearest neighbours (Å) after each atom.
Space group R-3m (No. 166, hexagonal axes)
One atom of each set of equivalent atoms:
Ho  0.0000  0.0000  0.0000  6 Ni 2.94, 6 Al 3.22
Al  0.0000  0.0000  0.2418  7 Ni 2.36-2.57
Si  0.0000  0.0000  0.5000  8 Ni 2.26-2.43
Ni  0.0000  0.0000  0.1365  3 Si 2.43, 4 Al 2.57
Ni  0.0000  0.0000  0.4075  1 Si 2.26, 3 Al 2.36

Calculated values
Magnetic moment ... 0.00 μB/cell
Formation energy from raw total energies ... -0.577 eV/atom
ρ ... 7.03 g cm⁻³
Final energy ... -135.68 eV for the cell shown



No. 2
This record from Alexandria via LeMat-Bulk describes a geometry-optimized HoTmAlNi structure. The functional is GGA-PBE.

Unit cell a=6.9585 b=6.9585 c=6.9585 alpha=90.00 beta=90.00 gamma=90.00
With the nearest neighbours (Å) after each atom.
Space group F-43m (No. 216)
One atom of each set of equivalent atoms:
Ho  0.0000  0.0000  0.0000  4 Al 3.01, 4 Ni 3.01
Tm  0.0000  0.0000  0.5000  4 Ni 3.01, 4 Al 3.01
Al  0.2500  0.2500  0.7500  4 Ho 3.01, 4 Tm 3.01
Ni  0.2500  0.2500  0.2500  4 Ho 3.01, 4 Tm 3.01

Calculated values
Magnetic moment ... 0.00 μB/cell
Energy of formation from the pure elements ... -342 meV/atom
ρ ... 8.27 g cm⁻³
Final energy ... -79.77 eV for the cell shown



No. 3
This record from Alexandria via LeMat-Bulk describes a geometry-optimized YHoAlNi structure. The functional is GGA-PBE.

Unit cell a=7.0234 b=7.0234 c=7.0234 alpha=90.00 beta=90.00 gamma=90.00
With the nearest neighbours (Å) after each atom.
Space group F-43m (No. 216)
One atom of each set of equivalent atoms:
Y  0.0000  0.0000  0.0000  4 Ni 3.04, 4 Al 3.04
Ho  0.0000  0.0000  0.5000  4 Ni 3.04, 4 Al 3.04
Al  0.2500  0.2500  0.2500  4 Ho 3.04, 4 Y 3.04
Ni  0.2500  0.2500  0.7500  4 Ho 3.04, 4 Y 3.04

Calculated values
Magnetic moment ... 0.00 μB/cell
Energy of formation from the pure elements ... -327 meV/atom
ρ ... 6.51 g cm⁻³
Final energy ... -87.49 eV for the cell shown